No. 1
VASP calculation (PBE-GGA) on a geometry-optimized ScAsIN2 structure.

Results
raw formation energy: 1.040 eV/atom
energy relative to the lowest polymorph listed for this composition: 147 meV/atom
calculated volume: 17.7 Å³/atom

Unit cell a=4.000 b=4.000 c=5.540 alpha=90.00 beta=90.00 gamma=90.00
Space group P4/mmm (No. 123)
Inequivalent atoms, fractional coordinates:
Sc 0.000 0.000 0.000 (multiplicity 1)
As 0.500 0.500 0.500 (multiplicity 1)
I 0.500 0.500 0.000 (multiplicity 1)
N 0.000 0.500 0.500 (multiplicity 2)

No. 2
VASP calculation (PBE-GGA) on a geometry-optimized AsSeI2N structure.

Results
raw formation energy: 1.080 eV/atom
energy relative to the lowest polymorph listed for this composition: 156 meV/atom
calculated volume: 26.2 Å³/atom

Unit cell a=5.969 b=5.969 c=3.683 alpha=90.00 beta=90.00 gamma=90.00
Space group P4/mmm (No. 123)
Inequivalent atoms, fractional coordinates:
As 0.000 0.000 0.000 (multiplicity 1)
Se 0.500 0.500 0.500 (multiplicity 1)
I 0.000 0.500 0.500 (multiplicity 2)
N 0.500 0.500 0.000 (multiplicity 1)

No. 3
VASP calculation (PBE-GGA) on a geometry-optimized AsSeI2N structure.

Results
raw formation energy: 0.925 eV/atom
energy relative to the lowest polymorph listed for this composition: 0 meV/atom
calculated volume: 26.2 Å³/atom

Unit cell a=6.021 b=6.021 c=3.619 alpha=90.00 beta=90.00 gamma=90.00
Space group P4/mmm (No. 123)
Inequivalent atoms, fractional coordinates:
As 0.000 0.000 0.000 (multiplicity 1)
Se 0.500 0.500 0.500 (multiplicity 1)
I 0.000 0.500 0.000 (multiplicity 2)
N 0.000 0.000 0.500 (multiplicity 1)

No. 4
VASP calculation (PBE-GGA) on a geometry-optimized SiAsIN2 structure.

Results
raw formation energy: 1.581 eV/atom
energy relative to the lowest polymorph listed for this composition: 516 meV/atom
calculated volume: 21.4 Å³/atom

Unit cell a=3.848 b=3.848 c=7.217 alpha=90.00 beta=90.00 gamma=90.00
Space group P4/mmm (No. 123)
Inequivalent atoms, fractional coordinates:
Si 0.000 0.000 0.000 (multiplicity 1)
As 0.500 0.500 0.500 (multiplicity 1)
I 0.500 0.500 0.000 (multiplicity 1)
N 0.000 0.500 0.500 (multiplicity 2)

No. 5
VASP calculation (PBE-GGA) on a geometry-optimized SiAsIN2 structure.

Results
raw formation energy: 1.065 eV/atom
energy relative to the lowest polymorph listed for this composition: 0 meV/atom
calculated volume: 20.4 Å³/atom

Unit cell a=3.672 b=3.672 c=7.561 alpha=90.00 beta=90.00 gamma=90.00
Space group P4/mmm (No. 123)
Inequivalent atoms, fractional coordinates:
Si 0.000 0.000 0.000 (multiplicity 1)
As 0.500 0.500 0.500 (multiplicity 1)
I 0.000 0.000 0.500 (multiplicity 1)
N 0.000 0.500 0.000 (multiplicity 2)

No. 6
VASP calculation (PBE-GGA) on a geometry-optimized SiAsI2N structure.

Results
raw formation energy: 0.962 eV/atom
energy relative to the lowest polymorph listed for this composition: 438 meV/atom
calculated volume: 26.0 Å³/atom

Unit cell a=5.938 b=5.938 c=3.683 alpha=90.00 beta=90.00 gamma=90.00
Space group P4/mmm (No. 123)
Inequivalent atoms, fractional coordinates:
Si 0.000 0.000 0.000 (multiplicity 1)
As 0.500 0.500 0.500 (multiplicity 1)
I 0.000 0.500 0.500 (multiplicity 2)
N 0.500 0.500 0.000 (multiplicity 1)

What is the energy relative to the lowest polymorph listed for this composition in the fourth record?
516 meV/atom

Which value of raw formation energy does entry 3 give?
0.925 eV/atom